## K2NiC4S4O4 (GGA+U)

Data for a relaxed structure of K2NiC4S4O4.

```
K2NiC4S4O4
1.0
4.396 0.000 0.000
0.000 11.135 -0.093
0.000 6.267 11.999
K O C S Ni
4 8 8 8 2
direct
0.288 0.125 0.842
0.712 0.875 0.158
0.788 0.875 0.658
0.212 0.125 0.342
0.218 0.866 0.029
0.965 0.112 0.664
0.535 0.112 0.164
0.718 0.134 0.471
0.035 0.888 0.336
0.782 0.134 0.971
0.282 0.866 0.529
0.465 0.888 0.836
0.821 0.217 0.604
0.321 0.783 0.896
0.179 0.783 0.396
0.817 0.230 0.994
0.183 0.770 0.006
0.679 0.217 0.104
0.317 0.770 0.506
0.683 0.230 0.494
0.238 0.654 0.362
0.489 0.375 0.413
0.511 0.625 0.587
0.011 0.375 0.913
0.989 0.625 0.087
0.262 0.654 0.862
0.762 0.346 0.638
0.738 0.346 0.138
0.500 0.500 0.500
0.000 0.500 0.000
```

Computed properties:
SG: P2_1/c
Crystal system: monoclinic
Total DFT energy (no corrections), eV/atom: -5.9466
Size of the total moment, Bohr magnetons per cell: 0.14